Computed, not measured: a geometry-optimized NdGaPO structure at the PBE level of DFT.

a b c (Å): 4.3107 4.3107 9.3514
angles (deg): 90.00 90.00 90.00
Fractional coordinates of all 8 atoms:
Ga1 0.7500 0.7500 0.0536
Ga2 0.2500 0.2500 0.9464
Nd1 0.7500 0.2500 0.5000
Nd2 0.2500 0.7500 0.5000
O1 0.7500 0.2500 0.0000
O2 0.2500 0.7500 0.0000
P1 0.7500 0.7500 0.3054
P2 0.2500 0.2500 0.6946

- VASP energy: -5.15 eV per atom

***

Computed, not measured: a geometry-optimized Mg2CdPd structure at the PBE level of DFT.

a b c (Å): 4.6861 4.6861 4.6861
angles (deg): 60.00 60.00 60.00
Fractional coordinates of all 4 atoms:
Cd1 0.7500 0.7500 0.7500
Mg1 0.2500 0.2500 0.2500
Mg2 0.5000 0.5000 0.5000
Pd1 0.0000 0.0000 0.0000

- VASP energy: -2.65 eV per atom

***

Computed, not measured: a geometry-optimized HfSnGe structure at the PBE level of DFT.

a b c (Å): 4.6755 4.6755 4.6755
angles (deg): 60.00 60.00 60.00
Fractional coordinates of all 3 atoms:
Ge1 0.0000 0.0000 0.0000
Hf1 0.2500 0.2500 0.2500
Sn1 0.7500 0.7500 0.7500

- VASP energy: -5.93 eV per atom

***

Computed, not measured: a geometry-optimized NbSi2B2 structure at the PBE level of DFT.

a b c (Å): 5.1503 5.1503 5.1503
angles (deg): 141.02 141.02 56.31
Fractional coordinates of all 5 atoms:
B1 0.4078 0.4078 0.0000
B2 0.5922 0.5922 0.0000
Nb1 0.0000 0.0000 0.0000
Si1 0.7500 0.2500 0.5000
Si2 0.2500 0.7500 0.5000

- VASP energy: -6.57 eV per atom

***

Computed, not measured: a geometry-optimized TbMgCuTe2Se structure at the PBE level of DFT.

a b c (Å): 7.1376 7.1376 10.7960
angles (deg): 90.00 90.00 146.98
Fractional coordinates of all 12 atoms:
Cu1 0.4820 0.5180 0.2500
Cu2 0.5180 0.4820 0.7500
Mg1 0.7428 0.2572 0.2500
Mg2 0.2572 0.7428 0.7500
Se1 0.0926 0.9074 0.2500
Se2 0.9074 0.0926 0.7500
Tb1 0.0000 0.0000 0.0000
Tb2 0.0000 0.0000 0.5000
Te1 0.3461 0.6539 0.0779
Te2 0.3461 0.6539 0.4221
Te3 0.6539 0.3461 0.5779
Te4 0.6539 0.3461 0.9221

- VASP energy: -4.15 eV per atom

***

Computed, not measured: a geometry-optimized Na4AlInAg2 structure at the PBE level of DFT.

a b c (Å): 4.9134 4.9134 7.0128
angles (deg): 90.00 90.00 90.00
Fractional coordinates of all 8 atoms:
Ag1 0.0000 0.5000 0.2317
Ag2 0.5000 0.0000 0.7683
Al1 0.0000 0.0000 0.0000
In1 0.5000 0.5000 0.5000
Na1 0.5000 0.5000 0.0000
Na2 0.5000 0.0000 0.2416
Na3 0.0000 0.0000 0.5000
Na4 0.0000 0.5000 0.7584

- VASP energy: -2.17 eV per atom

***

Computed, not measured: a geometry-optimized ZrCuBi2 structure at the PBE level of DFT.

a b c (Å): 5.1651 5.1651 5.1651
angles (deg): 60.00 60.00 60.00
Fractional coordinates of all 4 atoms:
Bi1 0.0000 0.0000 0.0000
Bi2 0.7500 0.7500 0.7500
Cu1 0.2500 0.2500 0.2500
Zr1 0.5000 0.5000 0.5000

- VASP energy: -4.75 eV per atom

***

Computed, not measured: a geometry-optimized LaHfBeIr structure at the PBE level of DFT.

a b c (Å): 4.6714 4.6714 4.6714
angles (deg): 60.00 60.00 60.00
Fractional coordinates of all 4 atoms:
Be1 0.7500 0.7500 0.7500
Hf1 0.5000 0.5000 0.5000
Ir1 0.0000 0.0000 0.0000
La1 0.2500 0.2500 0.2500

- VASP energy: -6.80 eV per atom

***

Computed, not measured: a geometry-optimized CsPrPdS3 structure at the PBE level of DFT.

a b c (Å): 8.3541 8.3541 10.3821
angles (deg): 90.00 90.00 150.66
Fractional coordinates of all 12 atoms:
Cs1 0.7507 0.2493 0.2500
Cs2 0.2493 0.7507 0.7500
Pd1 0.4955 0.5045 0.2500
Pd2 0.5045 0.4955 0.7500
Pr1 0.0000 0.0000 0.0000
Pr2 0.0000 0.0000 0.5000
S1 0.3924 0.6076 0.0837
S2 0.0768 0.9232 0.2500
S3 0.3924 0.6076 0.4163
S4 0.6076 0.3924 0.5837
S5 0.9232 0.0768 0.7500
S6 0.6076 0.3924 0.9163

- VASP energy: -5.03 eV per atom

***

Computed, not measured: a geometry-optimized Nd3PdPt2Pb3 structure at the PBE level of DFT.

a b c (Å): 4.1249 7.8602 7.8602
angles (deg): 119.98 90.00 90.00
Fractional coordinates of all 9 atoms:
Nd1 0.0000 0.5887 0.0000
Nd2 0.0000 0.4110 0.4110
Nd3 0.0000 0.0000 0.5887
Pb1 0.5000 0.9996 0.2557
Pb2 0.5000 0.7450 0.7450
Pb3 0.5000 0.2557 0.9996
Pd1 0.0000 0.0003 0.0003
Pt1 0.5000 0.6662 0.3334
Pt2 0.5000 0.3334 0.6662

- VASP energy: -5.56 eV per atom

***

Computed, not measured: a geometry-optimized BeCoBPt structure at the PBE level of DFT.

a b c (Å): 3.7885 3.7885 3.7885
angles (deg): 60.00 60.00 60.00
Fractional coordinates of all 4 atoms:
B1 0.0000 0.0000 0.0000
Be1 0.5000 0.5000 0.5000
Co1 0.7500 0.7500 0.7500
Pt1 0.2500 0.2500 0.2500

- VASP energy: -6.12 eV per atom

***

Computed, not measured: a geometry-optimized Tb3Sn3W2N12 structure at the PBE level of DFT.

a b c (Å): 11.1811 11.1811 11.1811
angles (deg): 109.47 109.47 109.47
Site moments in Bohr magnetons follow the coordinates.
Fractional coordinates of all 80 atoms:
N1 0.2020 0.1158 0.0322  0.06
N2 0.3301 0.9164 0.0322  0.06
N3 0.6158 0.4138 0.0836  0.07
N4 0.9678 0.6699 0.0836  0.05
N5 0.8842 0.4164 0.0862  0.07
N6 0.7020 0.6699 0.0862  0.05
N7 0.0322 0.2020 0.1158  0.05
N8 0.5836 0.9138 0.1158  0.06
N9 0.4678 0.5836 0.1699  0.06
N10 0.2020 0.5862 0.1699  0.06
N11 0.1158 0.0322 0.2020  0.07
N12 0.5862 0.1699 0.2020  0.07
N13 0.4678 0.3842 0.2980  0.06
N14 0.3301 0.9138 0.2980  0.07
N15 0.9164 0.0322 0.3301  0.07
N16 0.9138 0.2980 0.3301  0.06
N17 0.2980 0.4678 0.3842  0.05
N18 0.5862 0.9164 0.3842  0.06
N19 0.0836 0.6158 0.4138  0.07
N20 0.8301 0.7980 0.4138  0.05
N21 0.8301 0.5322 0.4164  0.06
N22 0.0862 0.8842 0.4164  0.06
N23 0.5836 0.1699 0.4678  0.07
N24 0.3842 0.2980 0.4678  0.06
N25 0.6158 0.7020 0.5322  0.06
N26 0.4164 0.8301 0.5322  0.07
N27 0.9138 0.1158 0.5836  0.06
N28 0.1699 0.4678 0.5836  0.06
N29 0.1699 0.2020 0.5862  0.05
N30 0.9164 0.3842 0.5862  0.07
N31 0.4138 0.0836 0.6158  0.06
N32 0.7020 0.5322 0.6158  0.05
N33 0.0862 0.7020 0.6699  0.06
N34 0.0836 0.9678 0.6699  0.07
N35 0.6699 0.0862 0.7020  0.07
N36 0.5322 0.6158 0.7020  0.06
N37 0.4138 0.8301 0.7980  0.07
N38 0.8842 0.9678 0.7980  0.07
N39 0.7980 0.4138 0.8301  0.06
N40 0.5322 0.4164 0.8301  0.06
N41 0.4164 0.0862 0.8842  0.06
N42 0.9678 0.7980 0.8842  0.05
N43 0.2980 0.3301 0.9138  0.05
N44 0.1158 0.5836 0.9138  0.07
N45 0.0322 0.3301 0.9164  0.05
N46 0.3842 0.5862 0.9164  0.07
N47 0.6699 0.0836 0.9678  0.06
N48 0.7980 0.8842 0.9678  0.06
Sn1 0.8750 0.2500 0.1250  0.00
Sn2 0.7500 0.8750 0.1250  0.00
Sn3 0.6250 0.3750 0.2500  0.00
Sn4 0.1250 0.8750 0.2500  0.00
Sn5 0.2500 0.6250 0.3750  0.00
Sn6 0.6250 0.7500 0.3750  0.00
Sn7 0.3750 0.2500 0.6250  0.00
Sn8 0.7500 0.3750 0.6250  0.00
Sn9 0.8750 0.1250 0.7500  0.00
Sn10 0.3750 0.6250 0.7500  0.00
Sn11 0.2500 0.1250 0.8750  0.00
Sn12 0.1250 0.7500 0.8750  0.00
Tb1 0.2500 0.3750 0.1250  0.01
Tb2 0.3750 0.7500 0.1250  0.01
Tb3 0.3750 0.1250 0.2500  0.01
Tb4 0.8750 0.6250 0.2500  0.01
Tb5 0.7500 0.1250 0.3750  0.01
Tb6 0.1250 0.2500 0.3750  0.01
Tb7 0.8750 0.7500 0.6250  0.01
Tb8 0.2500 0.8750 0.6250  0.01
Tb9 0.1250 0.3750 0.7500  0.01
Tb10 0.6250 0.8750 0.7500  0.01
Tb11 0.6250 0.2500 0.8750  0.01
Tb12 0.7500 0.6250 0.8750  0.01
W1 0.0000 0.0000 0.0000  -0.02
W2 0.5000 0.0000 0.0000  -0.02
W3 0.0000 0.5000 0.0000  -0.02
W4 0.5000 0.5000 0.0000  -0.02
W5 0.0000 0.0000 0.5000  -0.02
W6 0.5000 0.0000 0.5000  -0.02
W7 0.0000 0.5000 0.5000  -0.02
W8 0.5000 0.5000 0.5000  -0.02

- VASP energy: -7.83 eV per atom

***

Computed, not measured: a geometry-optimized KTbSeO structure at the PBE level of DFT.

a b c (Å): 5.8157 5.8148 11.5951
angles (deg): 90.00 105.11 90.00
Fractional coordinates of all 16 atoms:
K1 0.4477 0.6137 0.3957
K2 0.9473 0.1154 0.3964
K3 0.0527 0.6154 0.6036
K4 0.5523 0.1137 0.6043
O1 0.7499 0.1095 0.0000
O2 0.2501 0.6095 0.0000
O3 0.2503 0.1092 0.0002
O4 0.7497 0.6092 0.9998
Se1 0.8903 0.6163 0.2860
Se2 0.3905 0.1151 0.2869
Se3 0.6095 0.6151 0.7131
Se4 0.1097 0.1163 0.7140
Tb1 0.0466 0.8603 0.0916
Tb2 0.5472 0.3603 0.0919
Tb3 0.4528 0.8603 0.9081
Tb4 0.9534 0.3603 0.9084

- VASP energy: -5.80 eV per atom

***

Computed, not measured: a geometry-optimized Y5Ho2Hg structure at the PBE level of DFT.

a b c (Å): 5.5445 7.0704 7.0704
angles (deg): 60.08 90.00 90.00
Site moments in Bohr magnetons follow the coordinates.
Fractional coordinates of all 8 atoms:
Hg1 0.0000 0.8331 0.8331  0.01
Ho1 0.0000 0.3290 0.3290  0.11
Ho2 0.5000 0.6710 0.6710  0.18
Y1 0.5000 0.6689 0.1588  0.15
Y2 0.5000 0.1669 0.1669  0.06
Y3 0.0000 0.8410 0.3313  0.08
Y4 0.5000 0.1588 0.6689  0.12
Y5 0.0000 0.3313 0.8410  0.08

- Energy of formation: -0.035 eV/atom
- VASP energy: -5.26 eV per atom

***

Computed, not measured: a geometry-optimized PrMg structure at the PBE level of DFT.

a b c (Å): 4.8808 4.8096 5.0222
angles (deg): 90.00 90.00 90.00
Fractional coordinates of all 4 atoms:
Mg1 0.9211 0.0000 0.0000
Mg2 0.9122 0.5000 0.5000
Pr1 0.4433 0.5000 0.0000
Pr2 0.3900 0.0000 0.5000

- VASP energy: -3.22 eV per atom

***

Computed, not measured: a geometry-optimized YAlCuRe structure at the PBE level of DFT.

a b c (Å): 4.6370 4.6370 4.6370
angles (deg): 60.00 60.00 60.00
Fractional coordinates of all 4 atoms:
Al1 0.0000 0.0000 0.0000
Cu1 0.7500 0.7500 0.7500
Re1 0.5000 0.5000 0.5000
Y1 0.2500 0.2500 0.2500

- VASP energy: -6.07 eV per atom

***

Computed, not measured: a geometry-optimized SiIr structure at the PBE level of DFT.

a b c (Å): 3.7834 3.7834 3.7834
angles (deg): 60.00 60.00 60.00
Fractional coordinates of all 2 atoms:
Ir1 0.0000 0.0000 0.0000
Si1 0.2500 0.2500 0.2500

- VASP energy: -7.32 eV per atom

***

Computed, not measured: a geometry-optimized ZrCuGeIr structure at the PBE level of DFT.

a b c (Å): 4.5067 4.5067 4.5067
angles (deg): 60.00 60.00 60.00
Fractional coordinates of all 4 atoms:
Cu1 0.7500 0.7500 0.7500
Ge1 0.0000 0.0000 0.0000
Ir1 0.5000 0.5000 0.5000
Zr1 0.2500 0.2500 0.2500

- VASP energy: -6.71 eV per atom

***

Computed, not measured: a geometry-optimized Na3OsF6 structure at the PBE level of DFT.

a b c (Å): 5.6672 5.6672 5.6672
angles (deg): 60.00 60.00 60.00
Site moments in Bohr magnetons follow the coordinates.
Fractional coordinates of all 10 atoms:
F1 0.7521 0.2479 0.2479  0.02
F2 0.2479 0.7521 0.2479  0.01
F3 0.7521 0.7521 0.2479  0.04
F4 0.7521 0.2479 0.7521  0.01
F5 0.2479 0.7521 0.7521  0.02
F6 0.2479 0.2479 0.7521  0.04
Na1 0.2500 0.2500 0.2500  0.00
Na2 0.5000 0.5000 0.5000  0.00
Na3 0.7500 0.7500 0.7500  0.00
Os1 0.0000 0.0000 0.0000  0.79

- VASP energy: -4.66 eV per atom

***

Computed, not measured: a geometry-optimized ErBSe3 structure at the PBE level of DFT.

a b c (Å): 6.6968 6.6968 6.6183
angles (deg): 108.72 108.72 109.35
Fractional coordinates of all 10 atoms:
B1 0.8131 0.7320 0.4133
B2 0.7320 0.8131 0.9133
Er1 0.1270 0.3563 0.0941
Er2 0.3563 0.1270 0.5941
Se1 0.5597 0.5928 0.0449
Se2 0.1010 0.9286 0.0710
Se3 0.0910 0.6565 0.4753
Se4 0.5928 0.5597 0.5449
Se5 0.9286 0.1010 0.5710
Se6 0.6565 0.0910 0.9753

- VASP energy: -5.17 eV per atom